# GGA-PBE Fe2IrRh, relaxed
data_Fe2IrRh
_chemical_formula_sum 'Fe4 Ir2 Rh2'
_symmetry_space_group_name_H-M 'C 1 2/m 1'
_symmetry_Int_Tables_number 12
_cell_length_a 8.6905
_cell_length_b 2.6835
_cell_length_c 4.6543
_cell_angle_alpha 90.00
_cell_angle_beta 100.25
_cell_angle_gamma 90.00
loop_
_symmetry_equiv_pos_as_xyz
'x,y,z'
'-x,-y,-z'
'-x,y,-z'
'x,-y,z'
'x+1/2,y+1/2,z'
'-x+1/2,-y+1/2,-z'
'-x+1/2,y+1/2,-z'
'x+1/2,-y+1/2,z'
loop_
_atom_site_label
_atom_site_fract_x
_atom_site_fract_y
_atom_site_fract_z
_atom_site_occupancy
Fe1 0.2492 0.0000 0.2489 1
Ir1 0.0000 0.5000 0.0000 1
Rh1 0.0000 0.0000 0.5000 1
# ΔE_f in eV per atom: 0.0059